VASP calculation (PBE+U) on KNpVO5 after structural relaxation.

Cell: 7.3620 9.8337 7.9771 Å, 90.00 113.96 90.00°
Space group C2/c (No. 15)
Symmetry-distinct sites (fractional):
1 K 0.0000 0.1679 0.2500 (multiplicity 4)
2 Np 0.0000 0.5000 0.0000 (multiplicity 4)
3 V 0.0000 0.1849 0.7500 (multiplicity 4)
4 O 0.0000 0.4360 0.2500 (multiplicity 4)
5 O 0.0817 0.2960 0.6098 (multiplicity 8)
6 O 0.1904 0.0718 0.8991 (multiplicity 8)

Crystal system: monoclinic
VASP energy (Ha/atom): -0.301